Computed, not measured: a geometry-optimized TlC4 structure at the PBE level of DFT.

Calculated values
**E above lowest polymorph**: 2.499 eV per atom
**Space group**: Im-3m
**Electronic total energy**: -0.2525 Ry per atom
**ΔE_f**: 4.42 eV/atom
**M_tot**: 0.00 μB/cell

Cell and atoms, written as POSCAR:
```
TlC4
1.0
5.2825 0.0000 0.0000
0.0000 5.2825 0.0000
0.0000 0.0000 5.2825
Tl C
2 8
direct
0.0000 0.0000 0.0000 Tl
0.5000 0.5000 0.5000 Tl
0.2500 0.2500 0.2500 C
0.2500 0.2500 0.7500 C
0.2500 0.7500 0.2500 C
0.2500 0.7500 0.7500 C
0.7500 0.2500 0.2500 C
0.7500 0.2500 0.7500 C
0.7500 0.7500 0.2500 C
0.7500 0.7500 0.7500 C
```



Computed, not measured: a geometry-optimized Tl7C structure at the PBE level of DFT.

Calculated values
**Space group**: Fm-3m
**Electronic total energy**: -0.1815 Ry per atom
**ΔE_f**: 0.75 eV/atom
**M_tot**: 1.56 μB/cell

Cell and atoms, written as POSCAR:
```
Tl7C
1.0
0.0000 4.8539 4.8539
4.8539 0.0000 4.8539
4.8539 4.8539 0.0000
Tl C
7 1
direct
0.0000 0.0000 0.0000 Tl
0.0000 0.0000 0.5000 Tl
0.0000 0.5000 0.0000 Tl
0.0000 0.5000 0.5000 Tl
0.5000 0.0000 0.0000 Tl
0.5000 0.0000 0.5000 Tl
0.5000 0.5000 0.0000 Tl
0.5000 0.5000 0.5000 C
```



Computed, not measured: a geometry-optimized Tl3C2 structure at the PBE level of DFT.

Calculated values
**E above lowest polymorph**: 0.055 eV per atom
**Space group**: R-3m
**Electronic total energy**: -0.2545 Ry per atom
**ΔE_f**: 1.65 eV/atom
**M_tot**: 0.00 μB/cell

Cell and atoms, written as POSCAR:
```
Tl3C2
1.0
3.7133 0.0000 0.0000
-1.8566 3.2158 0.0000
0.0000 0.0000 24.4491
Tl C
9 6
direct
0.0000 0.0000 0.0000 Tl
0.0000 0.0000 0.2220 Tl
0.0000 0.0000 0.7780 Tl
0.3333 0.6667 0.4447 Tl
0.3333 0.6667 0.6667 Tl
0.3333 0.6667 0.8887 Tl
0.6667 0.3333 0.1113 Tl
0.6667 0.3333 0.3333 Tl
0.6667 0.3333 0.5553 Tl
0.0000 0.0000 0.3958 C
0.0000 0.0000 0.6042 C
0.3333 0.6667 0.0625 C
0.3333 0.6667 0.2709 C
0.6667 0.3333 0.7291 C
0.6667 0.3333 0.9375 C
```



Computed, not measured: a geometry-optimized Tl2C structure at the PBE level of DFT.

Calculated values
**E above lowest polymorph**: 0.643 eV per atom
**Space group**: P-3m1
**Electronic total energy**: -0.2442 Ry per atom
**ΔE_f**: 1.33 eV/atom
**M_tot**: 0.00 μB/cell

Cell and atoms, written as POSCAR:
```
Tl2C
1.0
3.7717 0.0000 0.0000
-1.8858 3.2664 0.0000
0.0000 0.0000 5.2516
Tl C
2 1
direct
0.3333 0.6667 0.2498 Tl
0.6667 0.3333 0.7502 Tl
0.0000 0.0000 0.0000 C
```



- Among the records above, which one has the lowest electronic total energy?
  Tl3C2